An optimized crystal structure of Tb2PmTmMg, computed with PBE-GGA.

Space-group type: P2_1/m
Fermi-level density of states (states/eV/f.u.): 6.98
Energy relative to the elements (eV/atom): 0.017
Magnetic moment (μB per cell): 0.0

Lattice parameters (Å, degrees): 5.5949 6.1529 9.4023 70.46 90.00 90.00
Last column: nearest neighbours and their distance in Å.
Positions (direct):
Tb1 0.7500 0.7485 0.8007  3 Mg 3.43-3.48, 3 Tb 3.45-3.60, 4 Tm 3.47-3.62, 2 Pm 3.47-3.53
Tb2 0.2500 0.2515 0.1993  3 Mg 3.43-3.48, 3 Tb 3.45-3.60, 4 Tm 3.47-3.62, 2 Pm 3.47-3.53
Tb3 0.2500 0.0186 0.6054  5 Tb 3.45-3.60, 4 Pm 3.48-3.73, 1 Tm 3.51, 2 Mg 3.52-3.59
Tb4 0.7500 0.9814 0.3946  5 Tb 3.45-3.60, 4 Pm 3.48-3.73, 1 Tm 3.51, 2 Mg 3.52-3.59
Pm1 0.7500 0.3508 0.6119  1 Tm 3.43, 3 Mg 3.45-3.71, 6 Tb 3.47-3.73, 2 Pm 3.61
Pm2 0.2500 0.6492 0.3881  1 Tm 3.43, 3 Mg 3.45-3.71, 6 Tb 3.47-3.73, 2 Pm 3.61
Tm1 0.2500 0.8390 0.0010  2 Tm 3.42, 4 Mg 3.43-3.61, 1 Pm 3.43, 5 Tb 3.47-3.62
Tm2 0.7500 0.1610 0.9990  2 Tm 3.42, 4 Mg 3.43-3.61, 1 Pm 3.43, 5 Tb 3.47-3.62
Mg1 0.7500 0.5771 0.1934  4 Tm 3.43-3.61, 5 Tb 3.43-3.59, 3 Pm 3.45-3.71
Mg2 0.2500 0.4229 0.8066  4 Tm 3.43-3.61, 5 Tb 3.43-3.59, 3 Pm 3.45-3.71



An optimized crystal structure of SrErCd2, computed with PBE-GGA.

Space-group type: P4/mmm
Fermi-level density of states (states/eV/f.u.): 2.25
Energy relative to the elements (eV/atom): -0.273
Magnetic moment (μB per cell): 0.0

Lattice parameters (Å, degrees): 3.8212 5.4928 5.4928 90.00 90.00 90.00
Last column: nearest neighbours and their distance in Å.
Positions (direct):
Sr1 0.5000 0.0000 0.0000  8 Cd 3.35
Cd1 0.0000 0.0000 0.5000  4 Er 3.35, 4 Sr 3.35
Cd2 0.0000 0.5000 0.0000  4 Er 3.35, 4 Sr 3.35
Er1 0.5000 0.5000 0.5000  8 Cd 3.35



An optimized crystal structure of FeIr2Cl, computed with PBE-GGA.

Space-group type: Cmmm
Formation energy from raw total energies (kJ per mole of atoms): 48.0
Fermi-level density of states (states/eV/f.u.): 4.58
Magnetic moment (μB per cell): 3.7

Lattice parameters (Å, degrees): 2.8199 2.8199 8.8090 90.00 90.00 120.67
Last column: nearest neighbours and their distance in Å.
Positions (direct):
Ir1 0.0000 0.0000 0.9837  2 Fe 2.49, 2 Cl 2.73
Ir2 0.0000 0.0000 0.5163  2 Fe 2.49, 2 Cl 2.73
Fe1 0.5000 0.5000 0.7500  4 Ir 2.49
Cl1 0.5000 0.5000 0.2500  4 Ir 2.73, 6 Cl 2.79-2.82



An optimized crystal structure of Te3BrCl, computed with PBE-GGA.

Space-group type: Pm-3m
Formation energy from raw total energies (kJ per mole of atoms): 79.6
Fermi-level density of states (states/eV/f.u.): 8.47
Magnetic moment (μB per cell): 0.0

Lattice parameters (Å, degrees): 5.6211 5.6211 5.6211 90.00 90.00 90.00
Last column: nearest neighbours and their distance in Å.
Positions (direct):
Te1 0.0000 0.5000 0.0000  2 Br 2.81
Te2 0.0000 0.0000 0.5000  2 Br 2.81
Te3 0.5000 0.0000 0.0000  2 Br 2.81
Br1 0.0000 0.0000 0.0000  6 Te 2.81
Cl1 0.5000 0.5000 0.5000  12 Te 3.97



An optimized crystal structure of VZnGeRh, computed with PBE-GGA.

Space-group type: F-43m
Fermi-level density of states (states/eV/f.u.): 2.22
Energy relative to the elements (eV/atom): -0.264
Magnetic moment (μB per cell): 2.4

Lattice parameters (Å, degrees): 4.3164 4.3164 4.3164 60.00 60.00 60.00
Last column: nearest neighbours and their distance in Å.
Positions (direct):
Ge1 0.0000 0.0000 0.0000  4 V 2.64, 4 Rh 2.64
Rh1 0.7500 0.7500 0.7500  4 Ge 2.64, 4 Zn 2.64
Zn1 0.5000 0.5000 0.5000  4 Rh 2.64, 4 V 2.64
V1 0.2500 0.2500 0.2500  4 Zn 2.64, 4 Ge 2.64



An optimized crystal structure of PrSc4Cd5, computed with PBE-GGA.

Space-group type: P4/mmm
Fermi-level density of states (states/eV/f.u.): 9.96
Energy relative to the elements (eV/atom): -0.290
Magnetic moment (μB per cell): 0.5

Lattice parameters (Å, degrees): 3.5746 3.5746 18.3522 90.00 90.00 90.00
Last column: nearest neighbours and their distance in Å.
Positions (direct):
Pr1 0.0000 0.0000 0.0000  8 Cd 3.38, 4 Pr 3.57
Sc1 0.0000 0.0000 0.2146  8 Cd 3.04-3.07
Sc2 0.0000 0.0000 0.4050  8 Cd 3.07-3.08
Sc3 0.0000 0.0000 0.5950  8 Cd 3.07-3.08
Sc4 0.0000 0.0000 0.7854  8 Cd 3.04-3.07
Cd1 0.5000 0.5000 0.1222  4 Sc 3.04, 4 Pr 3.38
Cd2 0.5000 0.5000 0.3094  8 Sc 3.07-3.08, 1 Cd 3.43
Cd3 0.5000 0.5000 0.5000  8 Sc 3.07
Cd4 0.5000 0.5000 0.6906  8 Sc 3.07-3.08, 1 Cd 3.43
Cd5 0.5000 0.5000 0.8778  4 Sc 3.04, 4 Pr 3.38